18
Lattice="-5.1975 -4.6380 1.4801 4.8582 -4.8003 2.0177 -0.5084 3.9891 10.7144" Properties=species:S:1:pos:R:3 comment="BaTl4Hg4 (PBE, optimized geometry)" sg=P4_2/nmc ef_ev_per_atom=-0.12 e_above_lowest_polymorph_mev_per_atom=60 pbc="T T T"
Hg -1.5623 -0.1371 3.4355
Hg 0.9613 1.5503 8.2335
Hg 1.1384 -2.5875 3.6706
Hg 3.1677 -0.6299 9.1499
Hg -1.8936 -0.2859 9.5870
Hg -3.9229 -2.2435 4.1077
Hg -1.6985 -5.1191 4.4785
Hg 0.7581 -2.9061 10.6883
Tl 0.8011 0.2548 11.2450
Tl -1.7334 1.0096 6.5755
Tl -1.5548 -3.0876 1.9975
Tl -2.0806 -2.3167 12.0657
Tl 1.1309 0.3630 5.1086
Tl 3.2955 -1.7759 6.0076
Tl 1.1388 -5.7491 3.1162
Tl -4.0492 -1.0569 7.2350
Ba -0.4239 -2.7246 7.1061
Ba 0.0000 0.0000 0.0000


80
Lattice="15.5623 0.0000 0.0000 -5.1874 14.6723 0.0000 -5.1874 -7.3361 12.7065" Properties=species:S:1:pos:R:3 comment="In12Te3Se5 (PBE, optimized geometry)" sg=Ia-3d formation_energy_uncorrected_mev_per_atom=-159.8 pbc="T T T"
In 1.8161 5.6497 8.5029
In -0.7776 0.8708 2.7909
In 3.6739 6.3065 5.3413
In -1.8161 -0.8156 5.7120
In 2.1275 -1.8253 11.5689
In 5.6537 1.8253 11.5689
In 3.0600 9.1614 1.1377
In 5.6537 -1.8979 11.6946
In 10.5385 -3.3815 8.1323
In 7.9448 12.9883 0.6413
In -2.7573 3.3815 8.1323
In 7.9448 3.9547 4.5743
In -5.0238 5.6522 12.0652
In 3.0600 5.4382 1.0119
In 10.2112 1.6839 0.6413
In 6.2677 -1.0296 7.3652
In 0.1636 5.0654 5.2156
In 0.7776 9.0226 8.5029
In 3.3713 1.6865 4.2037
In 9.2946 -5.1406 10.9276
In -1.0802 8.3658 5.3413
In 5.9650 6.4653 9.9156
In 5.0238 2.2707 7.4910
In 4.4098 -1.6865 4.2037
In 7.0035 8.1518 6.9946
In 11.4551 3.2252 3.5624
In -2.7573 -5.6522 12.0652
In -0.4662 9.2341 1.0119
In -3.3713 8.2070 9.9156
In 2.7573 -2.2707 7.4910
In 7.3149 7.2635 2.1496
In 8.5588 -0.8708 2.7909
In -1.5135 5.1406 10.9276
In -5.3511 10.7176 4.5743
In 10.8411 7.4087 2.1496
In -2.1275 0.0726 10.5569
In 1.5135 1.0296 7.3652
In -5.6537 -0.0726 10.5569
In -1.5135 -4.1109 9.1442
In -4.1072 12.4767 1.7790
In -4.4098 6.5205 6.9946
In 2.4301 9.6068 5.2156
In 2.1275 1.8979 11.6946
In 6.7009 2.1956 1.7790
In 6.7009 11.4471 3.5624
In -0.4662 5.5108 1.1377
In -6.2677 4.1109 9.1442
In 9.5972 0.8156 5.7120
Se 7.7811 0.0000 0.0000
Se 2.5937 3.6681 6.3533
Se 5.1874 7.3361 0.0000
Se 1.2969 -3.6681 9.5299
Se 3.8906 11.0042 3.1766
Se 9.0780 -0.9170 7.9416
Se 1.2969 4.5851 11.1182
Se -3.8906 8.2531 4.7650
Se 5.1874 -3.6681 6.3533
Se 6.4843 -4.5851 11.1182
Se -2.5937 7.3361 0.0000
Se -2.5937 -3.6681 6.3533
Se -1.2969 0.9170 7.9416
Se 3.8906 2.7510 1.5883
Se 0.0000 0.0000 0.0000
Se -5.1874 3.6681 6.3533
Se 6.4843 3.6681 9.5299
Se 6.4843 6.4191 4.7650
Se -1.2969 11.9212 1.5883
Se -1.2969 3.6681 3.1766
Te 9.0780 4.5851 1.5883
Te -6.4843 7.3361 9.5299
Te 1.2969 7.3361 3.1766
Te -3.8906 -2.7510 11.1182
Te 1.2969 -0.9170 4.7650
Te 6.4843 0.9170 4.7650
Te 11.6717 0.0000 3.1766
Te 3.8906 8.2531 7.9416
Te 9.0780 10.0872 1.5883
Te -3.8906 2.7510 11.1182
Te -1.2969 6.4191 7.9416
Te 3.8906 0.0000 9.5299


| no. | E_tot (eV per cell) |
| --- | --- |
| 1 | -27.3 |
| 2 | -251.6 |